[1]
# YZr3C (PBE-GGA, optimized geometry)
data_YZr3C
_cell_length_a 4.718
_cell_length_b 4.718
_cell_length_c 4.718
_cell_angle_alpha 90.00
_cell_angle_beta 90.00
_cell_angle_gamma 90.00
_symmetry_space_group_name_H-M 'P m -3 m'
_symmetry_Int_Tables_number 221
_symmetry_space_group_name_Hall '-P 4 2 3'
loop_
_atom_site_label
_atom_site_fract_x
_atom_site_fract_y
_atom_site_fract_z
Y1 0.000 0.000 0.000
Zr1 0.000 0.500 0.500
C1 0.500 0.500 0.500
# - final energy (eV/atom) = -8.43
# - relative energy among the computed polymorphs (meV per atom) = 0
# - theoretical density (g/cm3) = 5.9


[2]
# Y3ZrC (PBE-GGA, optimized geometry)
data_Y3ZrC
_cell_length_a 5.432
_cell_length_b 5.432
_cell_length_c 5.432
_cell_angle_alpha 90.00
_cell_angle_beta 90.00
_cell_angle_gamma 90.00
_symmetry_space_group_name_H-M 'P m -3 m'
_symmetry_Int_Tables_number 221
_symmetry_space_group_name_Hall '-P 4 2 3'
loop_
_atom_site_label
_atom_site_fract_x
_atom_site_fract_y
_atom_site_fract_z
Y1 0.000 0.000 0.500
Zr1 0.000 0.000 0.000
C1 0.500 0.500 0.500
# - final energy (eV/atom) = -5.52
# - relative energy among the computed polymorphs (meV per atom) = 1836
# - theoretical density (g/cm3) = 3.8